DFT (PBE-GGA) results for a relaxed LiCdTeN2 crystal.

Output
Mass density in Mg/m³: 3.91
Crystal system: tetragonal
Relative energy among the computed polymorphs in meV/atom: 0.0
Magnetization in Bohr magnetons per cell: 4.27
Energy relative to the elements, uncorrected in eV/atom: 1.351

```
data_LiCdTeN2
_cell_length_a 4.377
_cell_length_b 4.377
_cell_length_c 6.099
_cell_angle_alpha 90.00
_cell_angle_beta 90.00
_cell_angle_gamma 90.00
_space_group_name_H-M_alt 'P 4/m m m'
_space_group_IT_number 123
_space_group_name_Hall '-P 4 2'
loop_
_atom_site_label
_atom_site_type_symbol
_atom_site_fract_x
_atom_site_fract_y
_atom_site_fract_z
Li1 Li 0.000 0.000 0.000
Cd1 Cd 0.500 0.500 0.500
Te1 Te 0.500 0.500 0.000
N1 N 0.000 0.500 0.500
```